Record 1
# PBE Tm5TlS8, optimized geometry
# * D(E_F): 0.00 states/eV/cell
# * E_form (uncorrected): -1.886 eV per atom
data_Tm5TlS8
_chemical_formula_sum 'Tm5 Tl1 S8'
_space_group_name_H-M_alt 'P 1'
_space_group_IT_number 1
_space_group_name_Hall 'P 1'
_cell_length_a 3.921
_cell_length_b 9.579
_cell_length_c 10.349
_cell_angle_alpha 104.86
_cell_angle_beta 100.92
_cell_angle_gamma 90.00
loop_
_atom_site_label
_atom_site_type_symbol
_atom_site_fract_x
_atom_site_fract_y
_atom_site_fract_z
_atom_site_occupancy
S1 S 0.583 0.141 0.167 1
S2 S 0.231 0.140 0.463 1
S3 S 0.423 0.858 0.846 1
S4 S 0.079 0.807 0.159 1
S5 S 0.177 0.489 0.353 1
S6 S 0.773 0.854 0.546 1
Tl1 Tl 0.466 0.515 0.932 1
Tm1 Tm 0.706 0.336 0.412 1
S7 S 0.835 0.510 0.670 1
Tm2 Tm 0.347 0.053 0.694 1
S8 S 0.922 0.192 0.844 1
Tm3 Tm 0.656 0.941 0.312 1
Tm4 Tm 0.299 0.663 0.598 1
Tm5 Tm 0.003 0.003 0.006 1

Record 2
# PBE TmTl5S4, optimized geometry
# * E_form (uncorrected): -0.788 eV per atom
data_TmTl5S4
_chemical_formula_sum 'Tm1 Tl5 S4'
_space_group_name_H-M_alt 'P 1'
_space_group_IT_number 1
_space_group_name_Hall 'P 1'
_cell_length_a 4.046
_cell_length_b 8.500
_cell_length_c 9.416
_cell_angle_alpha 72.91
_cell_angle_beta 102.41
_cell_angle_gamma 90.00
loop_
_atom_site_label
_atom_site_type_symbol
_atom_site_fract_x
_atom_site_fract_y
_atom_site_fract_z
_atom_site_occupancy
Tl1 Tl 0.157 0.193 0.315 1
S1 S 0.654 0.955 0.308 1
Tl2 Tl 0.843 0.807 0.685 1
Tl3 Tl 0.182 0.693 0.365 1
Tl4 Tl 0.500 0.500 0.000 1
S2 S 0.981 0.226 0.962 1
Tm1 Tm 0.500 0.000 0.000 1
S3 S 0.019 0.774 0.038 1
Tl5 Tl 0.818 0.307 0.635 1
S4 S 0.346 0.045 0.692 1

Record 3
# PBE Tm2UTl3S6, optimized geometry
# * D(E_F): 9.19 states/eV/cell
# * E_form (uncorrected): -1.305 eV per atom
data_Tm2UTl3S6
_chemical_formula_sum 'Tm2 U1 Tl3 S6'
_space_group_name_H-M_alt 'P 1'
_space_group_IT_number 1
_space_group_name_Hall 'P 1'
_cell_length_a 6.922
_cell_length_b 6.922
_cell_length_c 7.947
_cell_angle_alpha 98.34
_cell_angle_beta 98.34
_cell_angle_gamma 119.97
loop_
_atom_site_label
_atom_site_type_symbol
_atom_site_fract_x
_atom_site_fract_y
_atom_site_fract_z
_atom_site_occupancy
S1 S 0.727 0.727 0.194 1
U1 U 0.000 0.000 0.000 1
S2 S 0.065 0.402 0.193 1
S3 S 0.273 0.273 0.806 1
Tm1 Tm 0.333 0.667 0.000 1
Tl1 Tl 0.167 0.833 0.500 1
Tm2 Tm 0.667 0.333 0.000 1
S4 S 0.598 0.935 0.807 1
Tl2 Tl 0.500 0.500 0.500 1
Tl3 Tl 0.833 0.167 0.500 1
S5 S 0.935 0.598 0.807 1
S6 S 0.402 0.065 0.193 1

Record 4
# PBE Tm4UTlS8, optimized geometry
# * D(E_F): 8.42 states/eV/cell
# * E_form (uncorrected): -1.644 eV per atom
data_Tm4UTlS8
_chemical_formula_sum 'Tm4 U1 Tl1 S8'
_space_group_name_H-M_alt 'P 1'
_space_group_IT_number 1
_space_group_name_Hall 'P 1'
_cell_length_a 8.133
_cell_length_b 8.133
_cell_length_c 8.148
_cell_angle_alpha 60.06
_cell_angle_beta 60.06
_cell_angle_gamma 60.00
loop_
_atom_site_label
_atom_site_type_symbol
_atom_site_fract_x
_atom_site_fract_y
_atom_site_fract_z
_atom_site_occupancy
S1 S 0.234 0.802 0.729 1
Tm1 Tm 0.625 0.625 0.124 1
S2 S 0.752 0.752 0.266 1
S3 S 0.752 0.230 0.266 1
S4 S 0.802 0.234 0.729 1
Tm2 Tm 0.490 0.004 0.501 1
S5 S 0.758 0.758 0.726 1
S6 S 0.234 0.234 0.298 1
Tm3 Tm 0.004 0.490 0.501 1
Tl1 Tl 0.376 0.376 0.872 1
S7 S 0.234 0.234 0.729 1
Tm4 Tm 0.004 0.004 0.501 1
U1 U 0.003 0.003 0.992 1
S8 S 0.230 0.752 0.266 1

> Which of these has the lowest E_form (uncorrected)?

Tm5TlS8